a.
# CsCdAs2Br | Alexandria | GGA-PBE | optimized geometry
# - Crystal system: tetragonal
# - Magnetization: 6.12 μB per cell
data_CsCdAs2Br
_chemical_formula_sum 'Cs1 Cd1 As2 Br1'
_cell_length_a 8.0096
_cell_length_b 8.0096
_cell_length_c 6.5940
_cell_angle_alpha 90.00
_cell_angle_beta 90.00
_cell_angle_gamma 90.00
_space_group_name_H-M_alt 'P 4/m m m'
_space_group_IT_number 123
_space_group_name_Hall '-P 4 2'
loop_
_atom_site_label
_atom_site_type_symbol
_atom_site_fract_x
_atom_site_fract_y
_atom_site_fract_z
Cs1 Cs 0.0000 0.0000 0.0000
Cd1 Cd 0.5000 0.5000 0.5000
As1 As 0.0000 0.5000 0.0000
Br1 Br 0.0000 0.0000 0.5000


b.
# CsCdAs2Br | Alexandria | GGA-PBE | optimized geometry
# - Crystal system: tetragonal
# - Magnetization: 1.73 μB per cell
data_CsCdAs2Br
_chemical_formula_sum 'Cs1 Cd1 As2 Br1'
_cell_length_a 5.2595
_cell_length_b 5.2595
_cell_length_c 6.4834
_cell_angle_alpha 90.00
_cell_angle_beta 90.00
_cell_angle_gamma 90.00
_space_group_name_H-M_alt 'P 4/m m m'
_space_group_IT_number 123
_space_group_name_Hall '-P 4 2'
loop_
_atom_site_label
_atom_site_type_symbol
_atom_site_fract_x
_atom_site_fract_y
_atom_site_fract_z
Cs1 Cs 0.0000 0.0000 0.0000
Cd1 Cd 0.5000 0.5000 0.5000
As1 As 0.0000 0.5000 0.5000
Br1 Br 0.5000 0.5000 0.0000


Most stable of them? b.


a.
# CdAsBr2F | Alexandria | GGA-PBE | optimized geometry
# - Crystal system: tetragonal
# - Magnetization: 0.64 μB per cell
data_CdAsBr2F
_chemical_formula_sum 'Cd1 As1 Br2 F1'
_cell_length_a 5.6663
_cell_length_b 5.6663
_cell_length_c 3.9869
_cell_angle_alpha 90.00
_cell_angle_beta 90.00
_cell_angle_gamma 90.00
_space_group_name_H-M_alt 'P 4/m m m'
_space_group_IT_number 123
_space_group_name_Hall '-P 4 2'
loop_
_atom_site_label
_atom_site_type_symbol
_atom_site_fract_x
_atom_site_fract_y
_atom_site_fract_z
Cd1 Cd 0.0000 0.0000 0.0000
As1 As 0.5000 0.5000 0.0000
Br1 Br 0.0000 0.5000 0.5000
F1 F 0.0000 0.0000 0.5000


b.
# CdAsBr2F | Alexandria | GGA-PBE | optimized geometry
# - Crystal system: tetragonal
# - Magnetization: 0.00 μB per cell
data_CdAsBr2F
_chemical_formula_sum 'Cd1 As1 Br2 F1'
_cell_length_a 5.6901
_cell_length_b 5.6901
_cell_length_c 3.9006
_cell_angle_alpha 90.00
_cell_angle_beta 90.00
_cell_angle_gamma 90.00
_space_group_name_H-M_alt 'P 4/m m m'
_space_group_IT_number 123
_space_group_name_Hall '-P 4 2'
loop_
_atom_site_label
_atom_site_type_symbol
_atom_site_fract_x
_atom_site_fract_y
_atom_site_fract_z
Cd1 Cd 0.0000 0.0000 0.0000
As1 As 0.5000 0.5000 0.0000
Br1 Br 0.0000 0.5000 0.5000
F1 F 0.5000 0.5000 0.5000


c.
# CdAsBr2F | Alexandria | GGA-PBE | optimized geometry
# - Crystal system: tetragonal
# - Magnetization: 0.73 μB per cell
data_CdAsBr2F
_chemical_formula_sum 'Cd1 As1 Br2 F1'
_cell_length_a 5.3325
_cell_length_b 5.3325
_cell_length_c 5.4759
_cell_angle_alpha 90.00
_cell_angle_beta 90.00
_cell_angle_gamma 90.00
_space_group_name_H-M_alt 'P 4/m m m'
_space_group_IT_number 123
_space_group_name_Hall '-P 4 2'
loop_
_atom_site_label
_atom_site_type_symbol
_atom_site_fract_x
_atom_site_fract_y
_atom_site_fract_z
Cd1 Cd 0.0000 0.0000 0.0000
As1 As 0.0000 0.0000 0.5000
Br1 Br 0.0000 0.5000 0.0000
F1 F 0.5000 0.5000 0.5000


Most stable of them? b.


a.
# CdFeAs2Br | Alexandria | GGA-PBE | optimized geometry
# - Crystal system: tetragonal
# - Magnetization: 0.95 μB per cell
data_CdFeAs2Br
_chemical_formula_sum 'Cd1 Fe1 As2 Br1'
_cell_length_a 4.5110
_cell_length_b 4.5110
_cell_length_c 5.5408
_cell_angle_alpha 90.00
_cell_angle_beta 90.00
_cell_angle_gamma 90.00
_space_group_name_H-M_alt 'P 4/m m m'
_space_group_IT_number 123
_space_group_name_Hall '-P 4 2'
loop_
_atom_site_label
_atom_site_type_symbol
_atom_site_fract_x
_atom_site_fract_y
_atom_site_fract_z
Cd1 Cd 0.0000 0.0000 0.0000
Fe1 Fe 0.5000 0.5000 0.5000
As1 As 0.0000 0.5000 0.5000
Br1 Br 0.5000 0.5000 0.0000


b.
# CdFeAs2Br | Alexandria | GGA-PBE | optimized geometry
# - Crystal system: tetragonal
# - Magnetization: 3.01 μB per cell
data_CdFeAs2Br
_chemical_formula_sum 'Cd1 Fe1 As2 Br1'
_cell_length_a 5.1350
_cell_length_b 5.1350
_cell_length_c 5.4878
_cell_angle_alpha 90.00
_cell_angle_beta 90.00
_cell_angle_gamma 90.00
_space_group_name_H-M_alt 'P 4/m m m'
_space_group_IT_number 123
_space_group_name_Hall '-P 4 2'
loop_
_atom_site_label
_atom_site_type_symbol
_atom_site_fract_x
_atom_site_fract_y
_atom_site_fract_z
Cd1 Cd 0.0000 0.0000 0.0000
Fe1 Fe 0.5000 0.5000 0.5000
As1 As 0.0000 0.5000 0.0000
Br1 Br 0.0000 0.0000 0.5000


Most stable of them? a.


a.
# CdGeAsBr2 | Alexandria | GGA-PBE | optimized geometry
# - Crystal system: tetragonal
# - Magnetization: 0.76 μB per cell
data_CdGeAsBr2
_chemical_formula_sum 'Cd1 Ge1 As1 Br2'
_cell_length_a 5.2434
_cell_length_b 5.2434
_cell_length_c 5.3231
_cell_angle_alpha 90.00
_cell_angle_beta 90.00
_cell_angle_gamma 90.00
_space_group_name_H-M_alt 'P 4/m m m'
_space_group_IT_number 123
_space_group_name_Hall '-P 4 2'
loop_
_atom_site_label
_atom_site_type_symbol
_atom_site_fract_x
_atom_site_fract_y
_atom_site_fract_z
Cd1 Cd 0.0000 0.0000 0.0000
Ge1 Ge 0.5000 0.5000 0.5000
As1 As 0.5000 0.5000 0.0000
Br1 Br 0.0000 0.5000 0.5000


b.
# CdGeAsBr2 | Alexandria | GGA-PBE | optimized geometry
# - Crystal system: tetragonal
# - Magnetization: 0.00 μB per cell
data_CdGeAsBr2
_chemical_formula_sum 'Cd1 Ge1 As1 Br2'
_cell_length_a 5.2952
_cell_length_b 5.2952
_cell_length_c 5.4334
_cell_angle_alpha 90.00
_cell_angle_beta 90.00
_cell_angle_gamma 90.00
_space_group_name_H-M_alt 'P 4/m m m'
_space_group_IT_number 123
_space_group_name_Hall '-P 4 2'
loop_
_atom_site_label
_atom_site_type_symbol
_atom_site_fract_x
_atom_site_fract_y
_atom_site_fract_z
Cd1 Cd 0.0000 0.0000 0.0000
Ge1 Ge 0.5000 0.5000 0.5000
As1 As 0.0000 0.0000 0.5000
Br1 Br 0.0000 0.5000 0.0000


Most stable of them? a.